A plane-wave DFT calculation with PBE was carried out for a relaxed SnSb2H2Pd7 crystal.

Results
Theoretical density in Mg/m³: 10.15
Total energy in eV/cell: -118.639
DOS at the Fermi energy in states/eV/atom: 0.49

a = 5.724 Å, b = 5.732 Å, c = 11.416 Å
α = 90.00°, β = 104.37°, γ = 90.00°
Space group C2/m (No. 12)
Inequivalent atoms, fractional coordinates:
Sn 0.000 0.000 0.000 (multiplicity 2)
Sb 0.190 0.000 0.386 (multiplicity 4)
H 0.090 0.500 0.178 (multiplicity 4)
Pd 0.000 0.500 0.000 (multiplicity 2)
Pd 0.159 0.250 0.814 (multiplicity 8)
Pd 0.184 0.500 0.371 (multiplicity 4)